1.
34
Lattice="6.2579 -3.7481 0.0000 6.2579 3.7481 0.0000 -0.5500 0.0000 9.4729" Properties=species:S:1:pos:R:3 comment="GGA-PBEsol Li2Cr2H4O9, relaxed" m_tot_mub_per_cell=0.2 spacegroup="Cc (9)" de_polymorph_mev_per_atom=23.1 crystal_system=monoclinic pbc="T T T"
Li 5.9828 3.2601 4.7365
Li 2.0924 0.7380 8.5162
Li 2.3675 -0.7380 3.7797
Li 6.2579 -3.2601 0.0000
Cr 5.4186 1.2389 8.8019
Cr 7.9404 1.8603 6.8642
Cr 5.6937 -1.2389 4.0654
Cr 8.2154 -1.8603 2.1278
H 3.6736 2.1571 4.4581
H 6.6936 2.3562 2.1259
H 6.6225 1.4916 3.4728
H 3.3986 -2.1571 9.1946
H 6.3474 -1.4916 8.2093
H 10.0794 0.4335 0.8063
H 6.4186 -2.3562 6.8624
H 9.8044 -0.4335 5.5428
O 1.9055 0.8840 0.8469
O 2.7019 1.1626 3.3829
O 3.8534 1.4268 8.4877
O 6.4357 2.3060 0.4784
O 6.8756 2.3888 3.1128
O 1.6305 -0.8840 5.5833
O 6.2791 1.5788 7.3177
O 2.4269 -1.1626 8.1193
O 6.0316 0.2709 4.5040
O 4.1284 -1.4268 3.7513
O 5.7566 -0.2709 9.2405
O 8.6896 0.4915 6.5183
O 10.7294 0.9410 0.2577
O 6.5541 -1.5788 2.5812
O 8.9646 -0.4915 1.7818
O 6.1607 -2.3060 5.2149
O 6.6006 -2.3888 7.8492
O 10.4544 -0.9410 4.9941

=====

2.
5
Lattice="5.0073 0.0000 0.0000 0.0000 5.0073 0.0000 0.0000 0.0000 5.0073" Properties=species:S:1:pos:R:3 comment="GGA-PBEsol MgCr3H, relaxed" m_tot_mub_per_cell=13.2 e_tot_ev_per_atom=-4.77 spacegroup="Pm-3m (221)" crystal_system=cubic pbc="T T T"
Mg 0.0000 0.0000 0.0000
Cr 0.0000 0.0000 2.5036
Cr 0.0000 2.5036 0.0000
Cr 2.5036 0.0000 0.0000
H 2.5036 2.5036 2.5036

=====

3.
78
Lattice="6.6227 0.0000 0.0000 3.0583 6.1295 0.0000 0.3118 0.3347 17.0072" Properties=species:S:1:pos:R:3 comment="GGA-PBEsol MgCrH22O15, relaxed" m_tot_mub_per_cell=0.1 e_tot_ev_per_atom=-5.42 spacegroup="P-1 (2)" crystal_system=triclinic pbc="T T T"
Mg 0.0000 0.0000 0.0000
Mg 0.1559 0.1673 8.5036
Cr 3.7990 2.1374 3.5037
Cr 6.1938 4.3268 13.5035
H 2.0405 3.6190 11.9287
H 0.4554 0.2367 2.7192
H 2.8062 4.6750 4.1975
H 3.4340 5.7975 5.7545
H 2.5411 3.6919 1.1733
H 1.4481 1.2392 1.9161
H 2.1579 1.8905 15.6895
H 1.4502 0.4523 12.9338
H 3.4583 4.1798 10.1507
H 3.6067 3.7053 12.3717
H 2.5223 1.5510 8.1308
H 3.5565 3.4449 7.9488
H 3.3456 2.9254 6.4226
H 4.8437 5.5676 6.4830
H 2.5867 0.9242 9.5994
H 3.3389 2.0328 11.1759
H 4.8889 4.3120 9.4471
H 4.0129 2.4529 14.4429
H 3.4781 0.9488 14.2567
H 5.4138 5.0368 0.7465
H 3.3754 0.5060 11.6666
H 5.6515 4.9490 16.2208
H 4.3414 1.5152 0.7863
H 6.6174 5.9581 5.3406
H 4.5790 1.4274 16.2606
H 6.5147 5.5154 2.7504
H 5.9799 4.0113 2.5643
H 5.1039 2.1522 7.5601
H 6.6539 4.4314 5.8313
H 7.4062 5.5400 7.4078
H 5.1491 0.8965 10.5242
H 6.6472 3.5387 10.5845
H 6.4364 3.0193 9.0584
H 7.4705 4.9132 8.8764
H 6.3862 2.7588 4.6355
H 6.5345 2.2844 6.8565
H 8.5427 6.0119 4.0734
H 7.8349 4.5736 1.3177
H 8.5447 5.2249 15.0910
H 7.4518 2.7723 15.8339
H 6.5588 0.6667 11.2527
H 7.1866 1.7892 12.8096
H 9.5374 6.2275 14.2880
H 7.9523 2.8451 5.0785
O 0.5115 0.7933 12.8471
O 1.2677 1.9461 16.1504
O 0.6339 0.6900 1.8485
O 3.8581 5.6914 6.6522
O 2.9874 3.5367 11.5948
O 2.8884 2.9588 4.6255
O 2.0101 0.9803 8.7736
O 3.8986 4.4649 9.2890
O 3.0955 2.2154 2.0315
O 3.5527 2.6345 7.3487
O 5.1416 5.3870 16.9388
O 3.6059 1.6760 14.9296
O 4.6992 3.6643 13.5639
O 3.5663 1.0897 10.8728
O 6.0553 5.9297 13.0769
O 3.9375 0.5345 3.9302
O 6.4265 5.3745 6.1344
O 5.2936 2.7998 3.4433
O 6.3869 4.7882 2.0776
O 4.8512 1.0771 0.0684
O 6.4401 3.8297 9.6585
O 6.8973 4.2488 14.9756
O 6.0942 1.9993 7.7181
O 7.9827 5.4839 8.2336
O 7.1044 3.5054 12.3816
O 7.0054 2.9275 5.4124
O 6.1348 0.7728 10.3550
O 9.3590 5.7742 15.1586
O 8.7251 4.5180 0.8568
O 9.4813 5.6709 4.1601

=====

4.
10
Lattice="2.6302 0.0000 0.0000 0.0000 2.6302 0.0000 0.0000 0.0000 10.9151" Properties=species:S:1:pos:R:3 comment="GGA-PBEsol MnCr2H2, relaxed" m_tot_mub_per_cell=0.0 e_tot_ev_per_atom=-7.31 spacegroup="I4/mmm (139)" crystal_system=tetragonal pbc="T T T"
Mn 0.0000 0.0000 0.0000
Mn 1.3151 1.3151 5.4576
Cr 0.0000 0.0000 3.8997
Cr 0.0000 0.0000 7.0154
Cr 1.3151 1.3151 1.5578
Cr 1.3151 1.3151 9.3573
H 0.0000 1.3151 2.7288
H 0.0000 1.3151 8.1864
H 1.3151 0.0000 2.7288
H 1.3151 0.0000 8.1864

=====

5.
5
Lattice="3.5439 0.0000 0.0000 0.0000 3.5439 0.0000 0.0000 0.0000 3.5439" Properties=species:S:1:pos:R:3 comment="GGA-PBEsol Mn3CrH, relaxed" m_tot_mub_per_cell=1.2 e_tot_ev_per_atom=-8.50 spacegroup="Pm-3m (221)" crystal_system=cubic pbc="T T T"
Mn 0.0000 0.0000 1.7720
Mn 0.0000 1.7720 0.0000
Mn 1.7720 0.0000 0.0000
Cr 1.7720 1.7720 1.7720
H 0.0000 0.0000 0.0000

=====

6.
5
Lattice="3.9277 0.0000 0.0000 0.0000 3.9277 0.0000 0.0000 0.0000 3.9277" Properties=species:S:1:pos:R:3 comment="GGA-PBEsol CrMo3H, relaxed" m_tot_mub_per_cell=0.0 e_tot_ev_per_atom=-9.45 spacegroup="Pm-3m (221)" crystal_system=cubic pbc="T T T"
Cr 0.0000 0.0000 0.0000
Mo 0.0000 1.9639 1.9639
Mo 1.9639 0.0000 1.9639
Mo 1.9639 1.9639 0.0000
H 1.9639 1.9639 1.9639

=====

7.
16
Lattice="2.6773 0.0000 0.0000 0.0000 2.6773 0.0000 0.0000 0.0000 14.8327" Properties=species:S:1:pos:R:3 comment="GGA-PBEsol CrH2N, relaxed" m_tot_mub_per_cell=4.0 e_tot_ev_per_atom=-6.20 spacegroup="I4_1/amd (141)" crystal_system=tetragonal pbc="T T T"
Cr 0.0000 0.6693 5.5623
Cr 0.0000 2.0080 9.2705
Cr 1.3387 0.6693 1.8541
Cr 1.3387 2.0080 12.9786
H 0.0000 0.0000 7.4164
H 0.0000 1.3387 7.4164
H 0.6693 0.6693 3.7082
H 0.6693 2.0080 11.1245
H 1.3387 0.0000 0.0000
H 1.3387 1.3387 0.0000
H 2.0080 0.6693 3.7082
H 2.0080 2.0080 11.1245
N 0.0000 0.6693 12.9786
N 0.0000 2.0080 1.8541
N 1.3387 0.6693 9.2705
N 1.3387 2.0080 5.5623

=====

8.
5
Lattice="3.4748 0.0000 0.0000 0.0000 3.4748 0.0000 0.0000 0.0000 3.4748" Properties=species:S:1:pos:R:3 comment="GGA-PBEsol Cr3HN, relaxed" m_tot_mub_per_cell=0.0 e_tot_ev_per_atom=-7.76 spacegroup="Pm-3m (221)" crystal_system=cubic pbc="T T T"
Cr 0.0000 0.0000 1.7374
Cr 0.0000 1.7374 0.0000
Cr 1.7374 0.0000 0.0000
H 0.0000 0.0000 0.0000
N 1.7374 1.7374 1.7374

=====

9.
44
Lattice="-3.6092 3.6092 7.6277 3.6092 -3.6092 7.6277 3.6092 3.6092 -7.6277" Properties=species:S:1:pos:R:3 comment="GGA-PBEsol CrH12PdN4O4, relaxed" m_tot_mub_per_cell=0.1 e_tot_ev_per_atom=-5.81 spacegroup="I4_1/amd (141)" crystal_system=tetragonal pbc="T T T"
Cr 3.6092 1.8046 1.9069
Cr 0.0000 1.8046 5.7208
H 2.4623 -0.9668 2.2772
H 4.7561 -0.9668 2.2772
H 0.8378 0.6577 1.5367
H 6.3805 0.6577 1.5367
H 2.2556 1.8046 -0.8261
H 4.9627 1.8046 -0.8261
H 2.4623 2.6424 -2.2772
H 1.1469 -0.9668 5.3505
H 0.0000 0.4511 2.9877
H 3.6092 0.4511 4.6399
H 0.8378 4.2668 -1.5367
H 2.7713 0.6577 6.0910
H 0.8378 2.9515 1.5367
H 2.7713 -0.6577 9.1643
H 0.0000 3.1581 2.9877
H 3.6092 3.1581 4.6399
H 2.4623 4.5759 2.2772
H 1.1469 0.9668 9.9049
H -1.3535 1.8046 8.4538
H 1.3535 1.8046 8.4538
H -2.7713 2.9515 6.0910
H 2.7713 2.9515 6.0910
H -1.1469 4.5759 5.3505
H 1.1469 4.5759 5.3505
Pd 3.6092 -1.8046 5.7208
Pd 0.0000 5.4137 1.9069
N 2.0225 1.8046 -1.8457
N 5.1958 1.8046 -1.8457
N 0.0000 0.2179 1.9681
N 3.6092 0.2179 5.6596
N 0.0000 3.3912 1.9681
N 3.6092 3.3912 5.6596
N -1.5867 1.8046 9.4734
N 1.5867 1.8046 9.4734
O 3.6092 0.4493 2.8493
O 2.2538 1.8046 0.9645
O 4.9645 1.8046 0.9645
O 0.0000 0.4493 4.7783
O 3.6092 3.1599 2.8493
O -1.3553 1.8046 6.6632
O 1.3553 1.8046 6.6632
O 0.0000 3.1599 4.7783

=====

10.
25
Lattice="5.5153 0.0000 0.0000 -0.6717 5.5641 0.0000 -1.6487 -0.3046 7.0036" Properties=species:S:1:pos:R:3 comment="GGA-PBEsol CrH10S2N4O8, relaxed" m_tot_mub_per_cell=4.0 e_tot_ev_per_atom=-5.98 spacegroup="P-1 (2)" crystal_system=triclinic pbc="T T T"
Cr 0.0000 0.0000 0.0000
H -0.9428 1.4438 5.0978
H -0.6208 5.0902 2.6274
H 0.7754 3.0444 1.2045
H 0.5442 3.1795 2.9131
H 1.4430 4.3752 2.0597
H 1.7518 0.8843 4.9439
H 2.6506 2.0800 4.0905
H 2.4194 2.2151 5.7991
H 3.8157 0.1694 4.3762
H 4.1377 3.8157 1.9058
S 0.1096 3.9335 5.4114
S 3.0852 1.3260 1.5922
N -0.5734 4.4785 1.7929
N 0.6230 3.7023 1.9946
N 2.5719 1.5573 5.0090
N 3.7682 0.7811 5.2107
O -1.1765 3.8155 6.1970
O 0.1595 2.7465 4.5090
O 0.0630 5.1727 4.5908
O 1.9257 1.3287 0.6824
O 1.2691 3.9308 6.3212
O 3.1318 0.0868 2.4128
O 3.0354 2.5130 2.4946
O 4.3714 1.4440 0.8066

=====

11.
5
Lattice="3.5036 0.0000 0.0000 0.0000 3.5036 0.0000 0.0000 0.0000 4.7773" Properties=species:S:1:pos:R:3 comment="GGA-PBEsol CrHSN2, relaxed" m_tot_mub_per_cell=0.0 e_tot_ev_per_atom=-6.19 spacegroup="P4/mmm (123)" crystal_system=tetragonal pbc="T T T"
Cr 0.0000 0.0000 0.0000
H 1.7518 1.7518 2.3886
S 0.0000 0.0000 2.3886
N 0.0000 1.7518 0.0000
N 1.7518 0.0000 0.0000

=====

12.
5
Lattice="4.7127 0.0000 0.0000 0.0000 4.7127 0.0000 0.0000 0.0000 3.4615" Properties=species:S:1:pos:R:3 comment="GGA-PBEsol CrHSe2N, relaxed" m_tot_mub_per_cell=0.0 e_tot_ev_per_atom=-5.35 spacegroup="P4/mmm (123)" crystal_system=tetragonal pbc="T T T"
Cr 0.0000 0.0000 0.0000
H 2.3564 2.3564 1.7308
Se 0.0000 2.3564 0.0000
Se 2.3564 0.0000 0.0000
N 0.0000 0.0000 1.7308

=====

13.
5
Lattice="5.8064 0.0000 0.0000 0.0000 5.8064 0.0000 0.0000 0.0000 5.8064" Properties=species:S:1:pos:R:3 comment="GGA-PBEsol Na3CrH, relaxed" m_tot_mub_per_cell=6.0 e_tot_ev_per_atom=-2.42 spacegroup="Pm-3m (221)" crystal_system=cubic pbc="T T T"
Na 0.0000 0.0000 2.9032
Na 0.0000 2.9032 0.0000
Na 2.9032 0.0000 0.0000
Cr 0.0000 0.0000 0.0000
H 2.9032 2.9032 2.9032

=====

14.
5
Lattice="3.6714 0.0000 0.0000 0.0000 3.6714 0.0000 0.0000 0.0000 3.6714" Properties=species:S:1:pos:R:3 comment="GGA-PBEsol NaCrH3, relaxed" m_tot_mub_per_cell=4.0 spacegroup="Pm-3m (221)" de_polymorph_mev_per_atom=847.9 crystal_system=cubic pbc="T T T"
Na 0.0000 0.0000 0.0000
Cr 1.8357 1.8357 1.8357
H 0.0000 0.0000 1.8357
H 0.0000 1.8357 0.0000
H 1.8357 0.0000 0.0000

=====

15.
5
Lattice="3.5795 0.0000 0.0000 0.0000 3.5795 0.0000 0.0000 0.0000 3.5795" Properties=species:S:1:pos:R:3 comment="GGA-PBEsol NaCrH3, relaxed" m_tot_mub_per_cell=3.4 spacegroup="Pm-3m (221)" de_polymorph_mev_per_atom=0.0 crystal_system=cubic pbc="T T T"
Na 0.0000 0.0000 0.0000
Cr 1.7897 1.7897 1.7897
H 0.0000 1.7897 1.7897
H 1.7897 0.0000 1.7897
H 1.7897 1.7897 0.0000